Entry 1:
6
Lattice="-1.755 3.148 5.107 0.394 6.237 0.116 -5.203 3.462 -0.097" Properties=species:S:1:pos:R:3 comment="MgTl4Mo | the Alexandria database | PBE | optimized geometry" e_tot_ev_per_atom=-2.8407 sg="F-43m (216)" dos_ef_per_ev_fu=2.4 pbc="T T T"
Mg -4.923 9.635 3.844
Tl -2.262 7.941 1.978
Tl -3.339 6.391 4.482
Tl -5.069 6.549 1.872
Tl -2.459 4.812 1.920
Mo 0.000 0.000 0.000

=====

Entry 2:
20
Lattice="3.754 0.000 0.000 0.000 9.747 0.000 0.000 0.000 9.747" Properties=species:S:1:pos:R:3 comment="Tb2ZnGa2Pt5 | the Alexandria database | PBE | optimized geometry" e_tot_ev_per_atom=-5.5090 sg="P4/mbm (127)" dos_ef_per_ev_fu=5.4 pbc="T T T"
Tb 0.000 6.583 1.710
Tb 0.000 3.164 8.037
Tb 0.000 1.710 3.164
Tb 0.000 8.037 6.583
Zn 0.000 0.000 0.000
Zn 0.000 4.873 4.873
Ga 0.000 1.212 6.086
Ga 0.000 8.534 3.661
Ga 0.000 6.086 8.534
Ga 0.000 3.661 1.212
Pt 1.877 1.982 0.609
Pt 1.877 7.765 9.137
Pt 1.877 0.609 7.765
Pt 1.877 6.855 4.264
Pt 1.877 9.137 1.982
Pt 1.877 2.891 5.483
Pt 1.877 5.483 6.855
Pt 1.877 4.264 2.891
Pt 1.877 4.873 0.000
Pt 1.877 0.000 4.873